Material: TaAlAu2
Method: DFT, SCAN
State: single point on PBEsol structure

The size of the total moment is 0.00 μB per formula unit. Its energy of formation from the pure elements is -0.362 eV/atom. The uncorrected energy comes out at -53.52 eV per atom. As for the calculated density: 15.298 g/cm3.

It has space group P4/mmm (No. 123), with a = 2.966 Å, b = 2.966 Å, c = 7.427 Å, α = 90.00°, β = 90.00° and γ = 90.00°. The inequivalent atoms are Ta at (0.000, 0.000, 0.000), Al at (0.000, 0.000, 0.500) and Au at (0.500, 0.500, 0.265).

***

Material: YCrBr2
Method: DFT, SCAN
State: single point on PBEsol structure

The size of the total moment is 5.38 μB per formula unit. The uncorrected energy comes out at -21.91 eV per atom. Its uncorrected formation energy is -0.622 eV/atom. As for the calculated density: 5.686 g/cm3.

It has space group P4/mmm (No. 123), with a = 3.578 Å, b = 3.578 Å, c = 6.859 Å, α = 90.00°, β = 90.00° and γ = 90.00°. The inequivalent atoms are Y at (0.000, 0.000, 0.000), Cr at (0.000, 0.000, 0.500) and Br at (0.500, 0.500, 0.234).

***

Material: NbInPt3
Method: DFT, SCAN
State: single point on PBEsol structure

The size of the total moment is 2.32 μB per formula unit. Its energy of formation from the pure elements is 1.237 eV/atom. The uncorrected energy comes out at -54.18 eV per atom. As for the calculated density: 12.037 g/cm3.

It has space group Pm-3m (No. 221), with a = 4.783 Å, b = 4.783 Å, c = 4.783 Å, α = 90.00°, β = 90.00° and γ = 90.00°. The inequivalent atoms are Nb at (0.000, 0.000, 0.000), In at (0.500, 0.500, 0.500) and Pt at (0.000, 0.500, 0.500).

***

Material: KCuSe
Method: DFT, SCAN
State: single point on PBEsol structure

The size of the total moment is 0.00 μB per formula unit. The uncorrected energy comes out at -15.32 eV per atom. Its uncorrected formation energy is -0.783 eV/atom. As for the calculated density: 4.277 g/cm3.

It has space group P6_3/mmc (No. 194), with a = 4.1162 Å, b = 4.1162 Å, c = 9.6103 Å, α = 90.00°, β = 90.00° and γ = 120.00°. The inequivalent atoms are K at (0.0000, 0.0000, 0.0000), Cu at (0.3333, 0.6667, 0.2500) and Se at (0.3333, 0.6667, 0.7500).

***

Material: ZnCdFe2
Method: DFT, SCAN
State: single point on PBEsol structure

The size of the total moment is 5.38 μB per formula unit. Its energy of formation from the pure elements is 0.186 eV/atom. The uncorrected energy comes out at -19.86 eV per atom. As for the calculated density: 8.475 g/cm3.

It has space group R3m (No. 160, hexagonal axes), with a = 2.7774 Å, b = 2.7774 Å, c = 25.4723 Å, α = 90.00°, β = 90.00° and γ = 120.00°. The inequivalent atoms are Zn at (0.0000, 0.0000, 0.0000), Cd at (0.0000, 0.0000, 0.7636), Fe at (0.0000, 0.0000, 0.2545) and Fe at (0.0000, 0.0000, 0.5213).

***

Material: Cu2TeSe
Method: DFT, SCAN
State: single point on PBEsol structure

The size of the total moment is 0.00 μB per formula unit. The uncorrected energy comes out at -21.98 eV per atom. Its uncorrected formation energy is -0.049 eV/atom. As for the calculated density: 7.432 g/cm3.

It has space group Amm2 (No. 38), with a = 4.379 Å, b = 5.060 Å, c = 6.729 Å, α = 90.00°, β = 90.00° and γ = 90.00°. The inequivalent atoms are Cu at (0.000, 0.000, 0.000), Cu at (0.500, 0.000, 0.196), Te at (0.000, 0.000, 0.394) and Se at (0.500, 0.000, 0.825).